# CoCu3F8 (PBE+U, optimized geometry)
data_CoCu3F8
_chemical_formula_sum 'Co1 Cu3 F8'
_cell_length_a 3.941
_cell_length_b 6.625
_cell_length_c 6.959
_cell_angle_alpha 108.55
_cell_angle_beta 106.45
_cell_angle_gamma 90.00
_space_group_name_H-M_alt 'P 1'
_space_group_IT_number 1
_space_group_name_Hall 'P 1'
loop_
_atom_site_label
_atom_site_fract_x
_atom_site_fract_y
_atom_site_fract_z
_atom_site_occupancy
F1 0.612 0.999 0.225 1
F2 0.844 0.263 0.688 1
F3 0.775 0.644 0.551 1
F4 0.570 0.402 0.141 1
F5 0.391 0.996 0.781 1
F6 0.220 0.348 0.441 1
F7 0.429 0.591 0.859 1
F8 0.154 0.733 0.307 1
Cu1 0.397 0.282 0.794 1
Cu2 0.604 0.714 0.208 1
Cu3 0.697 0.299 0.394 1
Co1 0.304 0.698 0.608 1
# crystal system: monoclinic
# density: 4.06 g cm⁻³
# VASP energy: -4.3085 eV/atom
# symmetry: Cm (8)
# D(E_F): 3.96 states/eV/f.u.
# total moment: 6.0 μB per formula unit